First-principles (PBE) data for crystalline TbMg at its relaxed geometry, as listed in OQMD via LeMat-Bulk.

a = 11.215 Å, b = 3.666 Å, c = 5.409 Å
α = 90.00°, β = 90.00°, γ = 90.00°
Atoms (fractional coordinates):
Mg  0.968  0.000  0.000
Mg  0.748  0.500  0.000
Mg  0.169  0.000  0.500
Mg  0.949  0.500  0.500
Tb  0.496  0.000  0.000
Tb  0.219  0.500  0.000
Tb  0.697  0.000  0.500
Tb  0.420  0.500  0.500

Summary:
E_tot	-25.00	eV/cell
magnetic moment	0.146	μB per formula unit